DFT (PBE-GGA) results for a relaxed structure of Mg4H4Ir.

ΔE to the lowest computed polymorph = 10 meV per atom
Total energy = -31.04 eV/f.u.
Size of the total moment = 0.00 μB per cell
ρ = 4.17 Mg/m³

Lattice parameters (Å, degrees): 4.1501 5.0777 6.0783 90.03 90.02 114.11
With the nearest neighbours (Å) after each atom.
Space group P1 (No. 1)
Asymmetric unit:
Mg  0.0000  0.0000  0.0000  2 H 1.94-2.05
Mg  0.0001  0.0006  0.5191  2 H 1.94-2.05
Mg  0.3294  0.6582  0.2610  5 H 1.92-2.09
Mg  0.7023  0.4040  0.7602  4 H 2.40-2.41
H  0.1238  0.2446  0.2594  3 Mg 1.92-1.94
H  0.2607  0.5242  0.5840  1 Ir 1.67
H  0.2656  0.5272  0.9370  1 Ir 1.67
H  0.8590  0.7165  0.2594  4 Mg 2.05-2.09
Ir  0.4012  0.8016  0.7593  2 H 1.67